Model one:
ZrMnCl2: relaxed, PBE.

abc: 3.1155 4.3250 5.7390
angles: 90.00 90.00 90.00
Space group Pmmm (No. 47)
One atom of each set of equivalent atoms:
1 Zr 0.0000 0.0000 0.0000 (multiplicity 1)
2 Mn 0.5000 0.0000 0.5000 (multiplicity 1)
3 Cl 0.0000 0.5000 0.5000 (multiplicity 1)
4 Cl 0.5000 0.5000 0.0000 (multiplicity 1)

Properties
mass density: 4.7 g/cm3


Model two:
ZrMnCl2: relaxed, PBE.

abc: 14.4986 3.3282 4.5334
angles: 90.00 107.79 90.00
Space group C2/m (No. 12)
One atom of each set of equivalent atoms:
1 Zr 0.0000 0.0000 0.0000 (multiplicity 2)
2 Mn 0.0000 0.5000 0.5000 (multiplicity 2)
3 Cl 0.1453 0.5000 0.1438 (multiplicity 4)

Properties
mass density: 3.5 g/cm3


Energetically preferred structure: model two | next structure: +27.9 kJ/mol of atoms


Model one:
ZrMnCl2: relaxed, PBE.

abc: 9.6519 3.2206 6.7981
angles: 90.00 118.96 90.00
Space group Cm (No. 8)
One atom of each set of equivalent atoms:
1 Zr 0.0000 0.0000 0.0000 (multiplicity 2)
2 Mn 0.2039 0.5000 0.3756 (multiplicity 2)
3 Cl 0.2914 0.0000 0.0136 (multiplicity 2)
4 Cl 0.4455 0.0000 0.6505 (multiplicity 2)

Properties
mass density: 3.9 g/cm3


Model two:
ZrMnCl2: relaxed, PBE.

abc: 6.7593 6.7593 6.7593
angles: 90.00 90.00 90.00
Space group F-43m (No. 216)
One atom of each set of equivalent atoms:
1 Zr 0.0000 0.0000 0.0000 (multiplicity 4)
2 Mn 0.2500 0.2500 0.2500 (multiplicity 4)
3 Cl 0.0000 0.0000 0.5000 (multiplicity 4)
4 Cl 0.2500 0.2500 0.7500 (multiplicity 4)

Properties
mass density: 4.7 g/cm3


Energetically preferred structure: model one | next structure: +63.2 kJ/mol of atoms


Model one:
ZrMnCl2: relaxed, PBE.

abc: 3.1347 4.5385 12.5093
angles: 90.00 90.00 90.00
Space group Imm2 (No. 44)
One atom of each set of equivalent atoms:
1 Zr 0.0000 0.0000 0.0000 (multiplicity 2)
2 Mn 0.0000 0.5000 0.6913 (multiplicity 2)
3 Cl 0.0000 0.0000 0.5184 (multiplicity 2)
4 Cl 0.0000 0.5000 0.3206 (multiplicity 2)

Properties
mass density: 4.1 g/cm3


Model two:
ZrMnCl2: relaxed, PBE.

abc: 6.5214 6.5214 6.5214
angles: 90.00 90.00 90.00
Space group Fm-3m (No. 225)
One atom of each set of equivalent atoms:
1 Zr 0.0000 0.0000 0.0000 (multiplicity 4)
2 Mn 0.0000 0.0000 0.5000 (multiplicity 4)
3 Cl 0.2500 0.2500 0.2500 (multiplicity 8)

Properties
mass density: 5.2 g/cm3


Model three:
ZrMnCl2: relaxed, PBE.

abc: 3.1365 3.1365 10.2567
angles: 90.00 90.00 90.00
Space group P4/mmm (No. 123)
One atom of each set of equivalent atoms:
1 Zr 0.0000 0.0000 0.0000 (multiplicity 1)
2 Mn 0.0000 0.0000 0.5000 (multiplicity 1)
3 Cl 0.5000 0.5000 0.1540 (multiplicity 2)

Properties
mass density: 3.6 g/cm3


Energetically preferred structure: model one | next structure: +2.9 kJ/mol of atoms


Model one:
ZrMn2Cl: relaxed, PBE.

abc: 6.5145 6.5145 6.5145
angles: 90.00 90.00 90.00
Space group F-43m (No. 216)
One atom of each set of equivalent atoms:
1 Zr 0.0000 0.0000 0.0000 (multiplicity 4)
2 Mn 0.0000 0.0000 0.5000 (multiplicity 4)
3 Mn 0.2500 0.2500 0.7500 (multiplicity 4)
4 Cl 0.2500 0.2500 0.2500 (multiplicity 4)

Properties
mass density: 5.7 g/cm3


Model two:
ZrMn2Cl: relaxed, PBE.

abc: 5.4060 10.0904 3.0338
angles: 90.00 123.03 90.00
Space group C2/m (No. 12)
One atom of each set of equivalent atoms:
1 Zr 0.0000 0.0000 0.0000 (multiplicity 2)
2 Mn 0.2500 0.2500 0.5000 (multiplicity 4)
3 Cl 0.0000 0.5000 0.0000 (multiplicity 2)

Properties
mass density: 5.7 g/cm3


Energetically preferred structure: model two | next structure: +21.6 kJ/mol of atoms


Model one:
ZrMnCl6: relaxed, PBE.

abc: 6.2466 12.6119 6.2440
angles: 90.00 108.18 90.00
Space group C2/m (No. 12)
One atom of each set of equivalent atoms:
1 Zr 0.0000 0.0000 0.0000 (multiplicity 2)
2 Mn 0.0000 0.5000 0.5000 (multiplicity 2)
3 Cl 0.2444 0.0000 0.7558 (multiplicity 4)
4 Cl 0.2479 0.1370 0.2484 (multiplicity 8)

Properties
mass density: 2.6 g/cm3


Model two:
ZrMnCl6: relaxed, PBE.

abc: 6.4298 6.4298 17.2759
angles: 90.00 90.00 120.00
Space group R-3 (No. 148, hexagonal axes)
One atom of each set of equivalent atoms:
1 Zr 0.0000 0.0000 0.0000 (multiplicity 3)
2 Mn 0.0000 0.0000 0.5000 (multiplicity 3)
3 Cl 0.0040 0.6428 0.7495 (multiplicity 18)

Properties
mass density: 2.9 g/cm3


Energetically preferred structure: model one | next structure: +1.1 kJ/mol of atoms


Model one:
MoCl: relaxed, PBE.

abc: 2.9971 2.9971 29.4150
angles: 90.00 90.00 120.00
Space group R-3m (No. 166, hexagonal axes)
One atom of each set of equivalent atoms:
1 Mo 0.0000 0.0000 0.1268 (multiplicity 6)
2 Cl 0.0000 0.0000 0.3992 (multiplicity 6)

Properties
mass density: 5.7 g/cm3


Model two:
MoCl: relaxed, PBE.

abc: 3.0066 3.3107 9.0098
angles: 90.00 92.33 90.00
Space group P2_1/m (No. 11)
One atom of each set of equivalent atoms:
1 Mo 0.1659 0.2500 0.0889 (multiplicity 2)
2 Cl 0.2781 0.7500 0.6991 (multiplicity 2)

Properties
mass density: 4.9 g/cm3


Energetically preferred structure: model two | next structure: +23.3 kJ/mol of atoms